No. 1
Material: IrNClF2
Method: DFT, PBEsol
State: relaxed

space-group type: P4/mmm (123)
ΔE_f (raw): -0.050 eV per atom

Cell lengths 3.751, 4.101, 4.101 Å; angles 90.00, 90.00, 90.00 degrees
Positions (direct):
N: 0.500 0.000 0.000
F: 0.000 0.000 0.500
F: 0.000 0.500 0.000
Ir: 0.000 0.000 0.000
Cl: 0.500 0.500 0.500



No. 2
Material: CaTl2Ag
Method: DFT, PBEsol
State: relaxed

energy relative to the elements: -193 meV per atom
space-group type: F-43m (216)

Cell lengths 5.139, 5.139, 5.139 Å; angles 60.00, 60.00, 60.00 degrees
Positions (direct):
Tl: 0.000 0.000 0.000
Tl: 0.750 0.750 0.750
Ca: 0.250 0.250 0.250
Ag: 0.500 0.500 0.500



No. 3
Material: Si2TcMo
Method: DFT, PBEsol
State: relaxed

offset from the most stable computed form: 332 meV/atom
space-group type: R-3m (166)
ΔE_f (raw): -0.184 eV per atom

Cell lengths 2.836, 2.836, 8.071 Å; angles 79.88, 79.88, 60.00 degrees
Positions (direct):
Mo: 0.000 0.000 0.000
Si: 0.247 0.247 0.259
Si: 0.753 0.753 0.741
Tc: 0.500 0.500 0.500



No. 4
Material: Ce2SeF4
Method: DFT, PBEsol
State: relaxed

space-group type: R-3m (166)
ΔE_f (raw): -3.454 eV per atom

Cell lengths 4.089, 4.089, 7.931 Å; angles 75.06, 75.06, 60.00 degrees
Site moments in Bohr magnetons follow the coordinates.
Positions (direct):
Ce: 0.244 0.244 0.268  0.96
Ce: 0.756 0.756 0.732  0.96
Se: 0.000 0.000 0.000  -0.02
F: 0.139 0.139 0.582  0.00
F: 0.861 0.861 0.418  0.00
F: 0.431 0.431 0.706  -0.01
F: 0.569 0.569 0.294  -0.01



No. 5
Material: Li2HPb
Method: DFT, PBEsol
State: relaxed

offset from the most stable computed form: 553 meV/atom
space-group type: Fm-3m (225)

Cell lengths 4.526, 4.526, 4.526 Å; angles 60.00, 60.00, 60.00 degrees
Positions (direct):
Pb: 0.500 0.500 0.500
H: 0.000 0.000 0.000
Li: 0.250 0.250 0.250
Li: 0.750 0.750 0.750



No. 6
Material: Zr5Ga4
Method: DFT, PBEsol
State: relaxed

energy relative to the elements: -601 meV per atom
space-group type: P6_3/mcm (193)

Cell lengths 5.651, 8.306, 8.306 Å; angles 120.00, 90.00, 90.00 degrees
Positions (direct):
Zr: 0.500 0.667 0.333
Zr: 0.500 0.333 0.667
Zr: 0.000 0.333 0.667
Zr: 0.000 0.667 0.333
Zr: 0.750 0.279 0.279
Zr: 0.750 0.000 0.721
Zr: 0.750 0.721 0.000
Zr: 0.250 0.721 0.721
Zr: 0.250 0.000 0.279
Zr: 0.250 0.279 0.000
Ga: 0.500 0.000 0.000
Ga: 0.000 0.000 0.000
Ga: 0.750 0.623 0.623
Ga: 0.750 0.000 0.377
Ga: 0.750 0.377 0.000
Ga: 0.250 0.377 0.377
Ga: 0.250 0.000 0.623
Ga: 0.250 0.623 0.000



No. 7
Material: AgSnP2H
Method: DFT, PBEsol
State: relaxed

uncorrected energy: -4.05 eV/atom
space-group type: P4/mmm (123)

Cell lengths 3.354, 4.936, 4.936 Å; angles 90.00, 90.00, 90.00 degrees
Positions (direct):
P: 0.000 0.000 0.500
P: 0.000 0.500 0.000
Sn: 0.500 0.500 0.500
Ag: 0.000 0.000 0.000
H: 0.500 0.000 0.000



No. 8
Material: Rb2TiMnCl
Method: DFT, PBEsol
State: relaxed

space-group type: P4/mmm (123)
ΔE_f (raw): 0.489 eV per atom

Cell lengths 4.287, 6.428, 6.428 Å; angles 90.00, 90.00, 90.00 degrees
Site moments in Bohr magnetons follow the coordinates.
Positions (direct):
Cl: 0.500 0.500 0.500  -0.01
Mn: 0.000 0.000 0.000  2.29
Rb: 0.000 0.000 0.500  -0.02
Rb: 0.000 0.500 0.000  -0.02
Ti: 0.500 0.000 0.000  -1.36



No. 9
Material: K3Ag
Method: DFT, PBEsol
State: relaxed

offset from the most stable computed form: 28 meV/atom
energy relative to the elements: 127 meV per atom
space-group type: Immm (71)

Cell lengths 4.148, 5.773, 8.995 Å; angles 108.72, 103.33, 90.00 degrees
Positions (direct):
K: 0.500 0.000 0.000
K: 0.332 0.332 0.665
K: 0.668 0.668 0.335
Ag: 0.000 0.500 0.000



No. 10
Material: K2NaScF6
Method: DFT, PBEsol
State: relaxed

space-group type: Fm-3m (225)
ΔE_f (raw): -3.323 eV per atom

Cell lengths 5.974, 5.974, 5.974 Å; angles 60.00, 60.00, 60.00 degrees
Positions (direct):
K: 0.250 0.250 0.250
K: 0.750 0.750 0.750
Na: 0.500 0.500 0.500
Sc: 0.000 0.000 0.000
F: 0.763 0.763 0.237
F: 0.237 0.763 0.763
F: 0.237 0.237 0.763
F: 0.763 0.237 0.763
F: 0.237 0.763 0.237
F: 0.763 0.237 0.237



No. 11
Material: LiSbI2N
Method: DFT, PBEsol
State: relaxed

offset from the most stable computed form: 0 meV/atom
space-group type: P4/mmm (123)
ΔE_f (raw): 0.154 eV per atom

Cell lengths 3.972, 6.125, 6.125 Å; angles 90.00, 90.00, 90.00 degrees
Positions (direct):
I: 0.000 0.000 0.500
I: 0.000 0.500 0.000
Sb: 0.000 0.000 0.000
Li: 0.500 0.500 0.500
N: 0.500 0.000 0.000



No. 12
Material: Ba2CaIr
Method: DFT, PBEsol
State: relaxed

energy relative to the elements: -70 meV per atom
space-group type: Cm (8)

Cell lengths 4.032, 5.525, 8.231 Å; angles 108.06, 90.00, 111.40 degrees
Positions (direct):
Ca: 0.436 0.873 0.376
Ir: 0.723 0.447 0.375
Ba: 0.094 0.187 0.088
Ba: 0.247 0.494 0.661